[1]
Compound: YSb2OsI
Source: the Alexandria database
Functional: GGA-PBE
Structure: relaxed

Unit cell a=5.855 b=5.855 c=5.720 alpha=90.00 beta=90.00 gamma=90.00
Site moments in Bohr magnetons follow the coordinates.
Positions (direct):
I (0.000, 0.000, 0.500)  -0.02
Sb (0.000, 0.500, 0.000)  -0.08
Sb (0.500, 0.000, 0.000)  -0.08
Os (0.500, 0.500, 0.500)  3.19
Y (0.000, 0.000, 0.000)  0.05

Values from the calculation:
Energy above the lowest structure with this stoichiometry   94.2 kJ per mole of atoms
Magnetic moment   0.681 μB/atom
Uncorrected energy   -4.131 eV/atom
SG   P4/mmm (123)

[2]
Compound: KGaI2
Source: the Alexandria database
Functional: GGA-PBE
Structure: relaxed

Unit cell a=5.927 b=5.927 c=5.927 alpha=60.00 beta=60.00 gamma=60.00
Positions (direct):
I (0.250, 0.250, 0.250)
I (0.750, 0.750, 0.750)
K (0.000, 0.000, 0.000)
Ga (0.500, 0.500, 0.500)

Values from the calculation:
Energy above the lowest structure with this stoichiometry   7.8 kJ per mole of atoms
Magnetic moment   0.000 μB/atom
Uncorrected energy   -2.624 eV/atom
SG   Fm-3m (225)

[3]
Compound: LaPrCuHg
Source: the Alexandria database
Functional: GGA-PBE
Structure: relaxed

Unit cell a=5.354 b=5.354 c=5.354 alpha=60.00 beta=60.00 gamma=60.00
Positions (direct):
Pr (0.000, 0.000, 0.000)
Hg (0.750, 0.750, 0.750)
Cu (0.250, 0.250, 0.250)
La (0.500, 0.500, 0.500)

Values from the calculation:
Energy above the lowest structure with this stoichiometry   2.3 kJ per mole of atoms
Energy of formation from the pure elements   -0.27 eV per atom
Magnetic moment   0.016 μB/atom
Uncorrected energy   -3.800 eV/atom
SG   F-43m (216)

> What is the uncorrected energy in the third record?

-3.800 eV/atom

> Which of these has the lowest energy above the lowest structure with this stoichiometry?

LaPrCuHg

> What is the formula in the second record?

KGaI2

> Number 2 is which compound?

KGaI2